Computed, not measured: a relaxed structure of Ti6VH8 at the PBE-GGA level of DFT.

Cell lengths 7.8967, 7.8967, 7.2391 Å; angles 90.00, 90.00, 120.00 degrees
Space group R-3 (No. 148, hexagonal axes)
Asymmetric unit:
Ti 0.0598 0.8127 0.1619 x18
V 0.0000 0.0000 0.5000 x3
H 0.0000 0.0000 0.2476 x6
H 0.0428 0.7858 0.6642 x18

Computed properties:
DFT total energy ... -5.84 eV per atom
Volume ... 390.9 Å³/cell

Computed, not measured: a relaxed structure of TiV3H at the PBE-GGA level of DFT.

Cell lengths 5.1749, 4.3810, 5.3863 Å; angles 90.00, 101.83, 90.00 degrees
Space group P2_1 (No. 4)
Asymmetric unit:
Ti 0.1254 0.0000 0.1795 x2
V 0.1103 0.9972 0.6809 x2
V 0.3500 0.5025 0.5670 x2
V 0.3903 0.4994 0.0515 x2
H 0.4275 0.1071 0.6307 x2

Computed properties:
Energy relative to the lowest polymorph listed for this composition ... 0 meV/atom
Volume ... 119.5 Å³/cell

Computed, not measured: a relaxed structure of TiVH2 at the PBE-GGA level of DFT.

Cell lengths 4.6106, 4.6106, 6.5749 Å; angles 90.00, 90.00, 90.00 degrees
Space group I-42d (No. 122)
Asymmetric unit:
Ti 0.0000 0.0000 0.0000 x4
V 0.0000 0.0000 0.5000 x4
H 0.2334 0.2500 0.6250 x8

Computed properties:
Energy relative to the lowest polymorph listed for this composition ... 0 meV/atom
Volume ... 139.8 Å³/cell

Computed, not measured: a relaxed structure of Ti2VH4 at the PBE-GGA level of DFT.

Cell lengths 7.8037, 7.8037, 7.8037 Å; angles 90.00, 90.00, 90.00 degrees
Space group Fd-3m (No. 227, origin choice 2)
Asymmetric unit:
Ti 0.0000 0.0000 0.0000 x16
V 0.1250 0.1250 0.6250 x8
H 0.0079 0.0079 0.2421 x32

Computed properties:
Energy relative to the lowest polymorph listed for this composition ... 39 meV/atom
Volume ... 475.2 Å³/cell

Please write out number 4 again, unchanged.
Computed, not measured: a relaxed structure of Ti2VH4 at the PBE-GGA level of DFT.

Cell lengths 7.8037, 7.8037, 7.8037 Å; angles 90.00, 90.00, 90.00 degrees
Space group Fd-3m (No. 227, origin choice 2)
Asymmetric unit:
Ti 0.0000 0.0000 0.0000 x16
V 0.1250 0.1250 0.6250 x8
H 0.0079 0.0079 0.2421 x32

Computed properties:
Energy relative to the lowest polymorph listed for this composition ... 39 meV/atom
Volume ... 475.2 Å³/cell

What did the first record say?
Computed, not measured: a relaxed structure of Ti6VH8 at the PBE-GGA level of DFT.

Cell lengths 7.8967, 7.8967, 7.2391 Å; angles 90.00, 90.00, 120.00 degrees
Space group R-3 (No. 148, hexagonal axes)
Asymmetric unit:
Ti 0.0598 0.8127 0.1619 x18
V 0.0000 0.0000 0.5000 x3
H 0.0000 0.0000 0.2476 x6
H 0.0428 0.7858 0.6642 x18

Computed properties:
DFT total energy ... -5.84 eV per atom
Volume ... 390.9 Å³/cell

- Which value of volume does entry 1 give?
  390.9 Å³/cell